No. 1
Compound: Tb7Pr4Th
Source: Alexandria
Functional: PBE
Structure: optimized geometry

Summary:
E above lowest polymorph: 258.8 meV per atom

a = 6.808 Å, b = 6.808 Å, c = 12.874 Å
α = 114.80°, β = 114.80°, γ = 52.49°
Sites, in units of the cell vectors:
Tb1 0.000 0.000 0.000
Tb2 0.211 0.211 0.924
Tb3 0.252 0.252 0.685
Tb4 0.365 0.365 0.496
Tb5 0.635 0.635 0.504
Tb6 0.748 0.748 0.315
Tb7 0.789 0.789 0.076
Pr1 0.059 0.059 0.331
Pr2 0.361 0.361 0.223
Pr3 0.639 0.639 0.777
Pr4 0.941 0.941 0.669
Th1 0.500 0.500 0.000

=====

No. 2
Compound: Tb8Pr2Th
Source: Alexandria
Functional: PBE
Structure: optimized geometry

Summary:
E above lowest polymorph: 0.0 meV per atom

a = 9.501 Å, b = 9.501 Å, c = 8.032 Å
α = 104.59°, β = 104.59°, γ = 31.03°
Sites, in units of the cell vectors:
Tb1 0.044 0.044 0.233
Tb2 0.134 0.134 0.675
Tb3 0.321 0.321 0.593
Tb4 0.411 0.411 0.050
Tb5 0.589 0.589 0.950
Tb6 0.679 0.679 0.407
Tb7 0.866 0.866 0.325
Tb8 0.956 0.956 0.767
Pr1 0.228 0.228 0.137
Pr2 0.772 0.772 0.863
Th1 0.500 0.500 0.500

=====

No. 3
Compound: Tb3Pr6Th2
Source: Alexandria
Functional: PBE
Structure: optimized geometry

a = 32.876 Å, b = 32.876 Å, c = 32.876 Å
α = 6.35°, β = 6.35°, γ = 6.35°
Sites, in units of the cell vectors:
Tb1 0.000 0.000 0.000
Tb2 0.273 0.273 0.273
Tb3 0.727 0.727 0.727
Pr1 0.091 0.091 0.091
Pr2 0.183 0.183 0.183
Pr3 0.363 0.363 0.363
Pr4 0.637 0.637 0.637
Pr5 0.817 0.817 0.817
Pr6 0.909 0.909 0.909
Th1 0.454 0.454 0.454
Th2 0.546 0.546 0.546

=====

No. 4
Compound: Tb2PrTh2
Source: Alexandria
Functional: PBE
Structure: optimized geometry

Summary:
E above lowest polymorph: 0.0 meV per atom

a = 14.786 Å, b = 14.786 Å, c = 14.786 Å
α = 13.99°, β = 13.99°, γ = 13.99°
Sites, in units of the cell vectors:
Tb1 0.098 0.098 0.098
Tb2 0.902 0.902 0.902
Pr1 0.500 0.500 0.500
Th1 0.301 0.301 0.301
Th2 0.699 0.699 0.699

=====

No. 5
Compound: Tb6PrTh8
Source: Alexandria
Functional: PBE
Structure: optimized geometry

a = 8.833 Å, b = 8.833 Å, c = 8.833 Å
α = 60.14°, β = 60.14°, γ = 60.14°
Sites, in units of the cell vectors:
Tb1 0.032 0.773 0.568
Tb2 0.227 0.432 0.968
Tb3 0.432 0.968 0.227
Tb4 0.568 0.032 0.773
Tb5 0.773 0.568 0.032
Tb6 0.968 0.227 0.432
Pr1 0.500 0.500 0.500
Th1 0.077 0.077 0.077
Th2 0.163 0.308 0.620
Th3 0.308 0.620 0.163
Th4 0.380 0.837 0.692
Th5 0.620 0.163 0.308
Th6 0.692 0.380 0.837
Th7 0.837 0.692 0.380
Th8 0.923 0.923 0.923

=====

No. 6
Compound: TbPr8Th2
Source: Alexandria
Functional: PBE
Structure: optimized geometry

a = 9.573 Å, b = 9.573 Å, c = 9.573 Å
α = 144.83°, β = 128.15°, γ = 64.21°
Sites, in units of the cell vectors:
Tb1 0.000 0.000 0.000
Pr1 0.156 0.862 0.294
Pr2 0.160 0.660 0.500
Pr3 0.295 0.500 0.795
Pr4 0.432 0.138 0.294
Pr5 0.568 0.862 0.706
Pr6 0.705 0.500 0.205
Pr7 0.840 0.340 0.500
Pr8 0.844 0.138 0.706
Th1 0.300 0.300 0.000
Th2 0.700 0.700 0.000

=====

No. 7
Compound: Tb6Pr2Th
Source: Alexandria
Functional: PBE
Structure: optimized geometry

Summary:
E above lowest polymorph: 0.0 meV per atom

a = 9.852 Å, b = 9.852 Å, c = 3.520 Å
α = 90.00°, β = 90.00°, γ = 120.08°
Sites, in units of the cell vectors:
Tb1 0.000 0.330 0.000
Tb2 0.000 0.670 0.000
Tb3 0.330 0.000 0.000
Tb4 0.330 0.330 0.000
Tb5 0.670 0.000 0.000
Tb6 0.670 0.670 0.000
Pr1 0.333 0.667 0.500
Pr2 0.667 0.333 0.500
Th1 0.000 0.000 0.500

=====

No. 8
Compound: Tb6Pr2Th
Source: Alexandria
Functional: PBE
Structure: optimized geometry

Summary:
E above lowest polymorph: 12.9 meV per atom

a = 3.599 Å, b = 3.599 Å, c = 26.773 Å
α = 90.00°, β = 90.00°, γ = 120.00°
Sites, in units of the cell vectors:
Tb1 0.000 0.000 0.063
Tb2 0.000 0.000 0.285
Tb3 0.000 0.000 0.715
Tb4 0.000 0.000 0.937
Tb5 0.333 0.667 0.391
Tb6 0.333 0.667 0.609
Pr1 0.333 0.667 0.171
Pr2 0.333 0.667 0.829
Th1 0.000 0.000 0.500

=====

No. 9
Compound: TbPrTh2
Source: Alexandria
Functional: PBE
Structure: optimized geometry

Summary:
E above lowest polymorph: 171.0 meV per atom

a = 5.718 Å, b = 5.718 Å, c = 5.718 Å
α = 60.00°, β = 60.00°, γ = 60.00°
Sites, in units of the cell vectors:
Tb1 0.000 0.000 0.000
Pr1 0.500 0.500 0.500
Th1 0.250 0.250 0.250
Th2 0.750 0.750 0.750

=====

No. 10
Compound: Tb9Pr11Th4
Source: Alexandria
Functional: PBE
Structure: optimized geometry

a = 15.606 Å, b = 15.606 Å, c = 3.715 Å
α = 90.00°, β = 90.00°, γ = 112.88°
Sites, in units of the cell vectors:
Tb1 0.000 0.000 0.000
Tb2 0.134 0.664 0.000
Tb3 0.288 0.433 0.000
Tb4 0.336 0.866 0.000
Tb5 0.433 0.288 0.000
Tb6 0.567 0.712 0.000
Tb7 0.664 0.134 0.000
Tb8 0.712 0.567 0.000
Tb9 0.866 0.336 0.000
Pr1 0.092 0.455 0.500
Pr2 0.131 0.869 0.500
Pr3 0.205 0.205 0.500
Pr4 0.342 0.658 0.500
Pr5 0.455 0.092 0.500
Pr6 0.500 0.500 0.500
Pr7 0.545 0.908 0.500
Pr8 0.658 0.342 0.500
Pr9 0.795 0.795 0.500
Pr10 0.869 0.131 0.500
Pr11 0.908 0.545 0.500
Th1 0.055 0.260 0.000
Th2 0.260 0.055 0.000
Th3 0.740 0.945 0.000
Th4 0.945 0.740 0.000

=====

No. 11
Compound: TbPrTh2
Source: Alexandria
Functional: PBE
Structure: optimized geometry

Summary:
E above lowest polymorph: 518.2 meV per atom

a = 9.888 Å, b = 9.888 Å, c = 3.572 Å
α = 95.63°, β = 95.63°, γ = 109.68°
Sites, in units of the cell vectors:
Tb1 0.197 0.803 0.750
Tb2 0.803 0.197 0.250
Pr1 0.000 0.500 0.000
Pr2 0.500 0.000 0.500
Th1 0.282 0.458 0.451
Th2 0.458 0.282 0.951
Th3 0.542 0.718 0.049
Th4 0.718 0.542 0.549

=====

No. 12
Compound: Tb4Pr10Th
Source: Alexandria
Functional: PBE
Structure: optimized geometry

a = 9.036 Å, b = 9.036 Å, c = 9.036 Å
α = 111.67°, β = 111.67°, γ = 105.16°
Sites, in units of the cell vectors:
Tb1 0.058 0.723 0.782
Tb2 0.277 0.058 0.335
Tb3 0.723 0.942 0.665
Tb4 0.942 0.277 0.218
Pr1 0.103 0.209 0.656
Pr2 0.209 0.553 0.106
Pr3 0.250 0.750 0.500
Pr4 0.447 0.103 0.894
Pr5 0.447 0.553 0.656
Pr6 0.553 0.447 0.344
Pr7 0.553 0.897 0.106
Pr8 0.750 0.250 0.500
Pr9 0.791 0.447 0.894
Pr10 0.897 0.791 0.344
Th1 0.500 0.500 0.000

=====

No. 13
Compound: Tb2PrTh
Source: Alexandria
Functional: PBE
Structure: optimized geometry

Summary:
E above lowest polymorph: 49.4 meV per atom

a = 5.117 Å, b = 5.117 Å, c = 5.034 Å
α = 90.00°, β = 90.00°, γ = 90.00°
Sites, in units of the cell vectors:
Tb1 0.000 0.500 0.000
Tb2 0.500 0.000 0.000
Pr1 0.000 0.000 0.500
Th1 0.500 0.500 0.500

=====

No. 14
Compound: Tb5Pr4Th
Source: Alexandria
Functional: PBE
Structure: optimized geometry

Summary:
E above lowest polymorph: 9.0 meV per atom

a = 13.077 Å, b = 13.077 Å, c = 7.211 Å
α = 97.80°, β = 97.80°, γ = 16.02°
Sites, in units of the cell vectors:
Tb1 0.000 0.000 0.000
Tb2 0.200 0.200 0.101
Tb3 0.403 0.403 0.697
Tb4 0.597 0.597 0.303
Tb5 0.800 0.800 0.899
Pr1 0.200 0.200 0.601
Pr2 0.403 0.403 0.202
Pr3 0.597 0.597 0.798
Pr4 0.800 0.800 0.399
Th1 0.000 0.000 0.500

=====

No. 15
Compound: Tb9Pr2Th
Source: Alexandria
Functional: PBE
Structure: optimized geometry

a = 5.072 Å, b = 5.072 Å, c = 15.213 Å
α = 90.00°, β = 90.00°, γ = 90.00°
Sites, in units of the cell vectors:
Tb1 0.000 0.000 0.000
Tb2 0.000 0.000 0.333
Tb3 0.000 0.000 0.667
Tb4 0.000 0.500 0.163
Tb5 0.000 0.500 0.500
Tb6 0.000 0.500 0.837
Tb7 0.500 0.000 0.163
Tb8 0.500 0.000 0.500
Tb9 0.500 0.000 0.837
Pr1 0.500 0.500 0.332
Pr2 0.500 0.500 0.668
Th1 0.500 0.500 0.000

=====

No. 16
Compound: Tb3Pr2Th3
Source: Alexandria
Functional: PBE
Structure: optimized geometry

a = 9.171 Å, b = 9.171 Å, c = 3.662 Å
α = 90.00°, β = 90.00°, γ = 120.00°
Sites, in units of the cell vectors:
Tb1 0.000 0.393 0.000
Tb2 0.393 0.000 0.000
Tb3 0.607 0.607 0.000
Pr1 0.333 0.667 0.500
Pr2 0.667 0.333 0.500
Th1 0.000 0.777 0.500
Th2 0.223 0.223 0.500
Th3 0.777 0.000 0.500

=====

No. 17
Compound: Tb16Pr7Th6
Source: Alexandria
Functional: PBE
Structure: optimized geometry

a = 11.179 Å, b = 11.179 Å, c = 11.179 Å
α = 60.00°, β = 60.00°, γ = 60.00°
Sites, in units of the cell vectors:
Tb1 0.026 0.658 0.658
Tb2 0.121 0.121 0.121
Tb3 0.121 0.121 0.636
Tb4 0.121 0.636 0.121
Tb5 0.342 0.342 0.342
Tb6 0.342 0.342 0.974
Tb7 0.342 0.974 0.342
Tb8 0.364 0.879 0.879
Tb9 0.636 0.121 0.121
Tb10 0.658 0.026 0.658
Tb11 0.658 0.658 0.026
Tb12 0.658 0.658 0.658
Tb13 0.879 0.364 0.879
Tb14 0.879 0.879 0.364
Tb15 0.879 0.879 0.879
Tb16 0.974 0.342 0.342
Pr1 0.000 0.000 0.000
Pr2 0.000 0.000 0.500
Pr3 0.000 0.500 0.000
Pr4 0.000 0.500 0.500
Pr5 0.500 0.000 0.000
Pr6 0.500 0.000 0.500
Pr7 0.500 0.500 0.000
Th1 0.331 0.331 0.669
Th2 0.331 0.669 0.331
Th3 0.331 0.669 0.669
Th4 0.669 0.331 0.331
Th5 0.669 0.331 0.669
Th6 0.669 0.669 0.331

=====

No. 18
Compound: Tb4Pr15Th
Source: Alexandria
Functional: PBE
Structure: optimized geometry

a = 5.213 Å, b = 5.213 Å, c = 25.964 Å
α = 90.00°, β = 90.00°, γ = 90.00°
Sites, in units of the cell vectors:
Tb1 0.000 0.000 0.100
Tb2 0.000 0.000 0.300
Tb3 0.000 0.000 0.700
Tb4 0.000 0.000 0.900
Pr1 0.000 0.500 0.000
Pr2 0.000 0.500 0.200
Pr3 0.000 0.500 0.401
Pr4 0.000 0.500 0.599
Pr5 0.000 0.500 0.800
Pr6 0.500 0.000 0.000
Pr7 0.500 0.000 0.200
Pr8 0.500 0.000 0.401
Pr9 0.500 0.000 0.599
Pr10 0.500 0.000 0.800
Pr11 0.500 0.500 0.099
Pr12 0.500 0.500 0.298
Pr13 0.500 0.500 0.500
Pr14 0.500 0.500 0.702
Pr15 0.500 0.500 0.901
Th1 0.000 0.000 0.500

=====

No. 19
Compound: Tb2Pr6Th
Source: Alexandria
Functional: PBE
Structure: optimized geometry

Summary:
E above lowest polymorph: 46.1 meV per atom

a = 10.263 Å, b = 10.263 Å, c = 3.679 Å
α = 94.34°, β = 94.34°, γ = 125.44°
Sites, in units of the cell vectors:
Tb1 0.161 0.839 0.000
Tb2 0.839 0.161 0.000
Pr1 0.161 0.502 0.683
Pr2 0.327 0.327 0.172
Pr3 0.498 0.839 0.317
Pr4 0.502 0.161 0.683
Pr5 0.673 0.673 0.828
Pr6 0.839 0.498 0.317
Th1 0.000 0.000 0.500

=====

No. 20
Compound: Tb2Pr4Th3
Source: Alexandria
Functional: PBE
Structure: optimized geometry

a = 8.121 Å, b = 8.121 Å, c = 10.897 Å
α = 103.46°, β = 103.46°, γ = 25.90°
Sites, in units of the cell vectors:
Tb1 0.164 0.164 0.221
Tb2 0.836 0.836 0.779
Pr1 0.162 0.162 0.885
Pr2 0.496 0.496 0.661
Pr3 0.504 0.504 0.339
Pr4 0.838 0.838 0.115
Th1 0.174 0.174 0.558
Th2 0.500 0.500 0.000
Th3 0.826 0.826 0.442

=====

Formation enthalpy at 0 K per entry: 0.279 0.026 0.030 0.016 0.140 0.156 0.060 0.073 0.201 0.114 0.548 0.446 0.049 0.025 0.023 0.180 0.328 0.026 0.109 0.058 eV per atom
Energy per entry: -4.63 -4.89 -5.19 -5.76 -5.99 -5.09 -4.91 -4.90 -5.86 -5.05 -5.51 -4.47 -5.32 -4.94 -4.86 -5.53 -4.92 -4.86 -4.93 -5.57 eV/atom
M_tot per entry: 0.0 0.0 0.0 0.0 0.0 0.0 0.0 0.0 0.0 0.0 0.0 0.0 0.0 0.0 0.0 0.0 0.0 0.0 0.0 0.0 μB per cell